Here is a relaxed MnSbPb2 crystal from Alexandria via LeMat-Bulk. Energies are from PBE.

a b c (Å): 5.412 3.444 6.597
angles (deg): 61.79 90.00 90.00
Site moments in Bohr magnetons follow the coordinates.
Element x y z (fractional)
Pb1 0.000 0.700 0.513  -0.04
Pb2 0.000 0.800 0.987  -0.04
Sb1 0.500 0.250 0.250  -0.02
Mn1 0.500 0.750 0.750  3.90

Output
Total magnetic moment (μB/atom): 0.9876
DOS(E_F) (states/eV per atom): 0.663
ΔE_f (raw) (meV/atom): 358